The following is a DFT calculation (PBE-GGA) of a relaxed CdSiIN2 crystal.

Formation energy from raw total energies = 0.86 eV/atom
Energy above the most stable polymorph in this dataset = 0.00 eV per formula unit

a b c (Å): 3.763 3.763 6.381
angles (deg): 90.00 90.00 90.00
Sites, in units of the cell vectors:
Cd  0.000  0.000  0.000
Si  0.500  0.500  0.500
I  0.500  0.500  0.000
N  0.000  0.500  0.500
N  0.500  0.000  0.500

The following is a DFT calculation (PBE-GGA) of a relaxed SrScHg2 crystal.

Formation energy from the elements = -312.9 meV/atom

a b c (Å): 6.214 6.214 4.956
angles (deg): 90.05 90.05 35.03
Sites, in units of the cell vectors:
Sr  0.000  0.000  0.000
Sc  0.284  0.284  0.500
Hg  0.573  0.573  0.500
Hg  0.739  0.739  0.000

The following is a DFT calculation (PBE-GGA) of a relaxed ZrUPaPt crystal.

Formation energy from the elements = -225.2 meV/atom

a b c (Å): 4.907 4.907 4.907
angles (deg): 60.00 60.00 60.00
Sites, in units of the cell vectors:
Zr  0.000  0.000  0.000
U  0.750  0.750  0.750
Pa  0.500  0.500  0.500
Pt  0.250  0.250  0.250

The following is a DFT calculation (PBE-GGA) of a relaxed Sm5Ge2Bi crystal.

Formation energy from the elements = -733.8 meV/atom

a b c (Å): 9.021 9.021 9.021
angles (deg): 126.89 126.89 78.43
Sites, in units of the cell vectors:
Sm  0.000  0.000  0.000
Sm  0.017  0.517  0.813
Sm  0.204  0.017  0.500
Sm  0.296  0.796  0.813
Sm  0.483  0.296  0.500
Sm  0.500  0.500  0.000
Sm  0.517  0.704  0.500
Sm  0.704  0.204  0.187
Sm  0.796  0.983  0.500
Sm  0.983  0.483  0.187
Ge  0.146  0.354  0.500
Ge  0.354  0.854  0.208
Ge  0.646  0.146  0.792
Ge  0.854  0.646  0.500
Bi  0.250  0.250  0.000
Bi  0.750  0.750  0.000

Repeat the second record exactly.
The following is a DFT calculation (PBE-GGA) of a relaxed SrScHg2 crystal.

Formation energy from the elements = -312.9 meV/atom

a b c (Å): 6.214 6.214 4.956
angles (deg): 90.05 90.05 35.03
Sites, in units of the cell vectors:
Sr  0.000  0.000  0.000
Sc  0.284  0.284  0.500
Hg  0.573  0.573  0.500
Hg  0.739  0.739  0.000

Repeat the second record exactly.
The following is a DFT calculation (PBE-GGA) of a relaxed SrScHg2 crystal.

Formation energy from the elements = -312.9 meV/atom

a b c (Å): 6.214 6.214 4.956
angles (deg): 90.05 90.05 35.03
Sites, in units of the cell vectors:
Sr  0.000  0.000  0.000
Sc  0.284  0.284  0.500
Hg  0.573  0.573  0.500
Hg  0.739  0.739  0.000